(1)
Compound: LiLa3Mg2
Source: Alexandria via LeMat-Bulk
Functional: GGA-PBE
Structure: relaxed

Cell and atoms, written as POSCAR:
```
LiLa3Mg2
1.0
2.788 -8.340 0.000
2.788 8.340 0.000
0.000 0.000 3.970
Li La Mg
1 3 2
direct
0.000 0.000 0.000
0.164 0.836 0.500
0.500 0.500 0.500
0.836 0.164 0.500
0.330 0.670 0.000
0.670 0.330 0.000
```

Computed properties:
- formation enthalpy at 0 K (meV/atom) = -40.5
- electronic total energy (eV per atom) = -3.355

---

(2)
Compound: YZr2W
Source: Alexandria via LeMat-Bulk
Functional: GGA-PBE
Structure: relaxed

Cell and atoms, written as POSCAR:
```
YZr2W
1.0
-1.732 2.653 5.014
1.732 -2.653 5.014
1.732 2.653 -5.014
Y Zr W
1 2 1
direct
0.000 0.000 0.000
0.286 0.786 0.500
0.714 0.214 0.500
0.500 0.500 0.000
```

Computed properties:
- formation enthalpy at 0 K (meV/atom) = 229.0
- electronic total energy (eV per atom) = -8.899

---

(3)
Compound: Tm2BPt2Rh4
Source: Alexandria via LeMat-Bulk
Functional: GGA-PBE
Structure: relaxed

Cell and atoms, written as POSCAR:
```
Tm2BPt2Rh4
1.0
-2.923 2.923 4.079
2.923 -2.923 4.079
2.923 2.923 -4.079
Tm B Pt Rh
2 1 2 4
direct
0.250 0.750 0.500
0.750 0.250 0.500
0.000 0.000 0.000
0.260 0.260 0.000
0.740 0.740 0.000
0.256 0.256 0.511
0.256 0.744 0.000
0.744 0.256 0.000
0.744 0.744 0.489
```

Computed properties:
- formation enthalpy at 0 K (meV/atom) = -917.8
- electronic total energy (eV per atom) = -7.263

---

(4)
Compound: AcCuPSe
Source: Alexandria via LeMat-Bulk
Functional: GGA-PBE
Structure: relaxed

Cell and atoms, written as POSCAR:
```
AcCuPSe
1.0
4.144 0.000 0.000
0.000 4.144 0.000
0.000 0.000 10.125
Ac Cu P Se
2 2 2 2
direct
0.250 0.250 0.246
0.750 0.750 0.754
0.250 0.750 0.500
0.750 0.250 0.500
0.250 0.250 0.634
0.750 0.750 0.366
0.250 0.750 0.000
0.750 0.250 0.000
```

Computed properties:
- formation energy from raw total energies (eV/atom) = -0.970
- electronic total energy (eV per atom) = -5.245

---

(5)
Compound: PaMnBi
Source: Alexandria via LeMat-Bulk
Functional: GGA-PBE
Structure: relaxed

Cell and atoms, written as POSCAR:
```
PaMnBi
1.0
11.223 -1.797 0.000
11.223 1.797 0.000
-0.062 0.000 3.588
Pa Mn Bi
2 2 2
direct
0.067 0.067 0.257
0.933 0.933 0.743
0.450 0.450 0.245
0.550 0.550 0.755
0.326 0.326 0.231
0.674 0.674 0.769
```

Computed properties:
- formation enthalpy at 0 K (meV/atom) = -194.9
- electronic total energy (eV per atom) = -7.710

---

(6)
Compound: Sm2HfI
Source: Alexandria via LeMat-Bulk
Functional: GGA-PBE
Structure: relaxed

Cell and atoms, written as POSCAR:
```
Sm2HfI
1.0
1.763 1.018 11.364
-1.763 1.018 11.364
0.000 -2.036 11.364
Sm Hf I
2 1 1
direct
0.091 0.091 0.091
0.909 0.909 0.909
0.000 0.000 0.000
0.500 0.500 0.500
```

Computed properties:
- formation energy from raw total energies (eV/atom) = 0.169
- electronic total energy (eV per atom) = -5.066

---

(7)
Compound: AlReBr4
Source: Alexandria via LeMat-Bulk
Functional: GGA-PBE
Structure: relaxed

Cell and atoms, written as POSCAR:
```
AlReBr4
1.0
0.000 4.529 4.529
4.529 0.000 4.529
4.529 4.529 0.000
Al Re Br
1 1 4
direct
0.000 0.000 0.000
0.250 0.250 0.250
0.126 0.625 0.625
0.625 0.126 0.625
0.625 0.625 0.126
0.625 0.625 0.625
```

Computed properties:
- formation energy from raw total energies (eV/atom) = 1.377
- electronic total energy (eV per atom) = -2.436

---

(8)
Compound: PmAg2F6
Source: Alexandria via LeMat-Bulk
Functional: GGA-PBE
Structure: relaxed

Cell and atoms, written as POSCAR:
```
PmAg2F6
1.0
6.346 -2.142 0.000
6.346 2.142 0.000
-0.569 0.000 5.043
Pm Ag F
1 2 6
direct
0.000 0.000 0.000
0.266 0.266 0.694
0.734 0.734 0.306
0.097 0.097 0.639
0.188 0.188 0.142
0.437 0.437 0.800
0.563 0.563 0.200
0.812 0.812 0.858
0.903 0.903 0.361
```

Computed properties:
- formation energy from raw total energies (eV/atom) = -2.337
- electronic total energy (eV per atom) = -4.746

---

(9)
Compound: LaYAs2
Source: Alexandria via LeMat-Bulk
Functional: GGA-PBE
Structure: relaxed

Cell and atoms, written as POSCAR:
```
LaYAs2
1.0
3.701 -3.833 0.000
3.701 3.833 0.000
-0.808 0.000 3.581
La Y As
1 1 2
direct
0.000 0.000 0.000
0.500 0.500 0.000
0.000 0.500 0.500
0.500 0.000 0.500
```

Computed properties:
- formation enthalpy at 0 K (meV/atom) = -1162.5
- electronic total energy (eV per atom) = -6.335

---

(10)
Compound: KRe2Ni
Source: Alexandria via LeMat-Bulk
Functional: GGA-PBE
Structure: relaxed

Cell and atoms, written as POSCAR:
```
KRe2Ni
1.0
1.584 -2.103 0.000
1.584 2.103 0.000
0.000 0.000 10.075
K Re Ni
1 2 1
direct
0.000 0.000 0.000
0.500 0.500 0.301
0.500 0.500 0.699
0.000 0.000 0.500
```

Computed properties:
- formation enthalpy at 0 K (meV/atom) = 835.8
- electronic total energy (eV per atom) = -7.108

---

(11)
Compound: Rb3PmSb2O6
Source: Alexandria via LeMat-Bulk
Functional: GGA-PBE
Structure: relaxed

Cell and atoms, written as POSCAR:
```
Rb3PmSb2O6
1.0
6.294 0.000 0.000
-3.147 5.451 0.000
0.000 0.000 7.600
Rb Pm Sb O
3 1 2 6
direct
0.000 0.000 0.000
0.333 0.667 0.657
0.667 0.333 0.343
0.000 0.000 0.500
0.333 0.667 0.194
0.667 0.333 0.806
0.174 0.349 0.316
0.174 0.826 0.316
0.349 0.174 0.684
0.651 0.826 0.316
0.826 0.174 0.684
0.826 0.651 0.684
```

Computed properties:
- formation energy from raw total energies (eV/atom) = -1.955
- electronic total energy (eV per atom) = -5.759

---

(12)
Compound: Pa2GaHg
Source: Alexandria via LeMat-Bulk
Functional: GGA-PBE
Structure: relaxed

Cell and atoms, written as POSCAR:
```
Pa2GaHg
1.0
1.582 0.913 10.654
-1.582 0.913 10.654
0.000 -1.826 10.654
Pa Ga Hg
2 1 1
direct
0.246 0.246 0.246
0.754 0.754 0.754
0.500 0.500 0.500
0.000 0.000 0.000
```

Computed properties:
- formation enthalpy at 0 K (meV/atom) = -94.7
- electronic total energy (eV per atom) = -5.675

---

(13)
Compound: PSeICl2
Source: Alexandria via LeMat-Bulk
Functional: GGA-PBE
Structure: relaxed

Cell and atoms, written as POSCAR:
```
PSeICl2
1.0
4.791 0.000 0.000
0.000 4.791 0.000
0.000 0.000 5.658
P Se I Cl
1 1 1 2
direct
0.000 0.000 0.000
0.000 0.000 0.500
0.500 0.500 0.000
0.000 0.500 0.500
0.500 0.000 0.500
```

Computed properties:
- formation energy from raw total energies (eV/atom) = 0.397
- electronic total energy (eV per atom) = -2.431

---

(14)
Compound: Pm2Pr6Er3
Source: Alexandria via LeMat-Bulk
Functional: GGA-PBE
Structure: relaxed

Cell and atoms, written as POSCAR:
```
Pm2Pr6Er3
1.0
-2.395 2.395 17.247
2.395 -2.395 17.247
2.395 2.395 -17.247
Pm Pr Er
2 6 3
direct
0.045 0.045 0.000
0.955 0.955 0.000
0.121 0.621 0.500
0.207 0.207 0.000
0.379 0.879 0.500
0.621 0.121 0.500
0.793 0.793 0.000
0.879 0.379 0.500
0.307 0.307 0.000
0.500 0.500 0.000
0.693 0.693 0.000
```

Computed properties:
- formation enthalpy at 0 K (meV/atom) = 290.4
- electronic total energy (eV per atom) = -4.425

---

(15)
Compound: TaZnSe2Br
Source: Alexandria via LeMat-Bulk
Functional: GGA-PBE
Structure: relaxed

Cell and atoms, written as POSCAR:
```
TaZnSe2Br
1.0
4.922 0.000 0.000
0.000 4.922 0.000
0.000 0.000 5.607
Ta Zn Se Br
1 1 2 1
direct
0.000 0.000 0.000
0.000 0.000 0.500
0.000 0.500 0.000
0.500 0.000 0.000
0.500 0.500 0.500
```

Computed properties:
- formation energy from raw total energies (eV/atom) = 0.028
- electronic total energy (eV per atom) = -4.326

---

(16)
Compound: Pr4PbBr5
Source: Alexandria via LeMat-Bulk
Functional: GGA-PBE
Structure: relaxed

Cell and atoms, written as POSCAR:
```
Pr4PbBr5
1.0
9.282 -2.132 0.000
9.282 2.132 0.000
-1.559 0.000 8.970
Pr Pb Br
4 1 5
direct
0.003 0.003 0.246
0.330 0.330 0.938
0.670 0.670 0.062
0.997 0.997 0.754
0.500 0.500 0.000
0.165 0.165 0.810
0.168 0.168 0.307
0.500 0.500 0.500
0.832 0.832 0.693
0.835 0.835 0.190
```

Computed properties:
- formation energy from raw total energies (eV/atom) = -1.371
- electronic total energy (eV per atom) = -4.490

---

(17)
Compound: PmCuC2O6
Source: Alexandria via LeMat-Bulk
Functional: GGA-PBE
Structure: relaxed

Cell and atoms, written as POSCAR:
```
PmCuC2O6
1.0
2.504 1.446 5.517
-2.504 1.446 5.517
0.000 -2.891 5.517
Pm Cu C O
1 1 2 6
direct
0.000 0.000 0.000
0.500 0.500 0.500
0.248 0.248 0.248
0.752 0.752 0.752
0.018 0.735 0.499
0.265 0.501 0.982
0.499 0.018 0.735
0.501 0.982 0.265
0.735 0.499 0.018
0.982 0.265 0.501
```

Computed properties:
- formation energy from raw total energies (eV/atom) = -1.702
- electronic total energy (eV per atom) = -7.407

---

(18)
Compound: GdHoTlRu
Source: Alexandria via LeMat-Bulk
Functional: GGA-PBE
Structure: relaxed

Cell and atoms, written as POSCAR:
```
GdHoTlRu
1.0
0.000 3.603 3.603
3.603 0.000 3.603
3.603 3.603 0.000
Gd Ho Tl Ru
1 1 1 1
direct
0.000 0.000 0.000
0.500 0.500 0.500
0.250 0.250 0.250
0.750 0.750 0.750
```

Computed properties:
- formation enthalpy at 0 K (meV/atom) = -241.5
- electronic total energy (eV per atom) = -7.817

---

(19)
Compound: K2La2I7
Source: Alexandria via LeMat-Bulk
Functional: GGA-PBE
Structure: relaxed

Cell and atoms, written as POSCAR:
```
K2La2I7
1.0
6.940 -4.838 0.000
6.940 4.838 0.000
-0.175 0.000 8.233
K La I
2 2 7
direct
0.244 0.756 0.000
0.756 0.244 0.000
0.262 0.262 0.464
0.738 0.738 0.536
0.009 0.571 0.250
0.064 0.064 0.279
0.429 0.991 0.750
0.500 0.500 0.500
0.571 0.009 0.250
0.936 0.936 0.721
0.991 0.429 0.750
```

Computed properties:
- formation energy from raw total energies (eV/atom) = -1.357
- electronic total energy (eV per atom) = -3.439

---

(20)
Compound: BeFeAg2
Source: Alexandria via LeMat-Bulk
Functional: GGA-PBE
Structure: relaxed

Cell and atoms, written as POSCAR:
```
BeFeAg2
1.0
-1.862 1.862 9.084
1.862 -1.862 9.084
1.862 1.862 -9.084
Be Fe Ag
2 2 4
direct
0.000 0.000 0.000
0.750 0.250 0.500
0.250 0.750 0.500
0.500 0.500 0.000
0.119 0.625 0.994
0.375 0.369 0.494
0.631 0.125 0.006
0.875 0.881 0.506
```

Computed properties:
- formation enthalpy at 0 K (meV/atom) = 664.5
- electronic total energy (eV per atom) = -3.808